Entry 1:
The following is a GGA-PBE calculation of a relaxed structure of DyEr3C, from Alexandria via LeMat-Bulk.

abc: 4.998 4.998 4.998
angles: 90.00 90.00 90.00
Space group Pm-3m (No. 221)
Symmetry-distinct sites (fractional):
Dy 0.000 0.000 0.000 x1
Er 0.000 0.500 0.500 x3
C 0.500 0.500 0.500 x1

***

Entry 2:
The following is a GGA-PBE calculation of a relaxed structure of PdS2Br, from Alexandria via LeMat-Bulk.

abc: 6.631 6.631 8.437
angles: 90.00 90.00 90.00
Space group I-42d (No. 122)
Symmetry-distinct sites (fractional):
Pd 0.000 0.000 0.000 x4
S 0.180 0.250 0.125 x8
Br 0.000 0.000 0.500 x4

## Properties
The energy above the most stable polymorph in this dataset comes out at 9.672 kcal/mol of atoms. As for the formation energy (no corrections): 1.22 eV/f.u.

***

Entry 3:
The following is a GGA-PBE calculation of a relaxed structure of Pm2HoAu, from Alexandria via LeMat-Bulk.

abc: 3.7474 3.7474 30.2668
angles: 90.00 90.00 120.00
Space group R3m (No. 160, hexagonal axes)
Symmetry-distinct sites (fractional):
Pm 0.0000 0.0000 0.0000 x3
Pm 0.0000 0.0000 0.1891 x3
Ho 0.0000 0.0000 0.4274 x3
Au 0.0000 0.0000 0.5947 x3

## Properties
The energy above the most stable polymorph in this dataset comes out at 3.910 kcal/mol of atoms.

***

Entry 4:
The following is a GGA-PBE calculation of a relaxed structure of LaPu5Te6, from Alexandria via LeMat-Bulk.

abc: 7.728 13.389 7.735
angles: 90.00 109.46 90.00
Space group C2/m (No. 12)
Symmetry-distinct sites (fractional):
La 0.000 0.000 0.000 x2
Pu 0.000 0.164 0.500 x4
Pu 0.000 0.333 0.000 x4
Pu 0.000 0.500 0.500 x2
Te 0.243 0.500 0.252 x4
Te 0.245 0.330 0.745 x8

## Properties
As for the formation energy (no corrections): -14.05 eV/f.u.

***

Entry 5:
The following is a GGA-PBE calculation of a relaxed structure of Ti3Pd4, from Alexandria via LeMat-Bulk.

abc: 3.269 3.269 20.729
angles: 90.00 90.00 90.00
Space group I4/mmm (No. 139)
Symmetry-distinct sites (fractional):
Ti 0.000 0.000 0.000 x2
Ti 0.000 0.000 0.293 x4
Pd 0.000 0.000 0.148 x4
Pd 0.000 0.000 0.433 x4

## Properties
The energy above the most stable polymorph in this dataset comes out at 0.000 kcal/mol of atoms.

***

Entry 6:
The following is a GGA-PBE calculation of a relaxed structure of Ca2YBr, from Alexandria via LeMat-Bulk.

abc: 3.784 5.725 7.088
angles: 90.00 105.47 90.00
Space group Pm (No. 6)
Symmetry-distinct sites (fractional):
Ca 0.000 0.000 0.000 x1
Ca 0.361 0.500 0.720 x1
Y 0.617 0.500 0.235 x1
Br 0.675 0.000 0.353 x1

## Properties
The energy above the most stable polymorph in this dataset comes out at 6.284 kcal/mol of atoms. As for the formation energy (no corrections): -1.47 eV/f.u.

***

Entry 7:
The following is a GGA-PBE calculation of a relaxed structure of LiGaC, from Alexandria via LeMat-Bulk.

abc: 4.643 4.643 7.936
angles: 90.00 90.00 90.00
Space group P4_122 (No. 91)
Symmetry-distinct sites (fractional):
Li 0.000 0.257 0.000 x4
Ga 0.285 0.285 0.375 x4
C 0.013 0.500 0.250 x4

***

Entry 8:
The following is a GGA-PBE calculation of a relaxed structure of YZrPt2, from Alexandria via LeMat-Bulk.

abc: 3.921 3.921 5.722
angles: 90.00 90.00 90.00
Space group P4mm (No. 99)
Symmetry-distinct sites (fractional):
Y 0.000 0.000 0.000 x1
Zr 0.500 0.500 0.406 x1
Pt 0.000 0.000 0.494 x1
Pt 0.500 0.500 0.910 x1

***

Q: Which calculated total energy values were calculated for the entries above? A: -27.67 -55.61 -54.94 -218.97 -96.71 -13.61 -49.72 -30.84, in eV for the cell shown.